1.
Compound: Sr2Hg5Au
Source: Alexandria
Functional: PBE
Structure: relaxed

Unit cell a=6.703 b=6.703 c=9.919 alpha=90.00 beta=90.00 gamma=90.00
Fractional coordinates of all 16 atoms:
Sr 0.000 0.500 0.000
Sr 0.000 0.500 0.500
Sr 0.500 0.000 0.000
Sr 0.500 0.000 0.500
Hg 0.000 0.000 0.004
Hg 0.249 0.249 0.750
Hg 0.249 0.751 0.750
Hg 0.251 0.251 0.250
Hg 0.251 0.749 0.250
Hg 0.500 0.500 0.504
Hg 0.749 0.251 0.250
Hg 0.749 0.749 0.250
Hg 0.751 0.249 0.750
Hg 0.751 0.751 0.750
Au 0.000 0.000 0.496
Au 0.500 0.500 0.996

Properties
Density of states at the Fermi level: 6.83 states/eV per cell
Symmetry: I4mm
M_tot: 0.000 μB per cell
V: 27.86 Å³/atom

---

2.
Compound: Sr2Hg5Au
Source: Alexandria
Functional: PBE
Structure: relaxed

Unit cell a=9.722 b=9.722 c=10.451 alpha=90.00 beta=90.00 gamma=152.60
Fractional coordinates of all 16 atoms:
Sr 0.000 0.000 0.000
Sr 0.000 0.000 0.500
Sr 0.187 0.813 0.750
Sr 0.813 0.187 0.250
Hg 0.201 0.799 0.107
Hg 0.201 0.799 0.393
Hg 0.363 0.637 0.026
Hg 0.363 0.637 0.474
Hg 0.404 0.596 0.750
Hg 0.596 0.404 0.250
Hg 0.637 0.363 0.526
Hg 0.637 0.363 0.974
Hg 0.799 0.201 0.607
Hg 0.799 0.201 0.893
Au 0.447 0.553 0.250
Au 0.553 0.447 0.750

Properties
Density of states at the Fermi level: 6.04 states/eV per cell
Symmetry: Cmcm
M_tot: 0.000 μB per cell
V: 28.41 Å³/atom

---

If we sort the structures by their calculated energies, the order from most to least stable is 2, 1.

---

1.
Compound: Sr2Hg5Au3
Source: Alexandria
Functional: PBE
Structure: relaxed

Unit cell a=9.704 b=9.704 c=9.704 alpha=99.32 beta=92.43 gamma=142.72
Fractional coordinates of all 20 atoms:
Sr 0.236 0.130 0.365
Sr 0.264 0.630 0.894
Sr 0.736 0.370 0.106
Sr 0.764 0.870 0.635
Hg 0.148 0.391 0.540
Hg 0.250 0.250 0.000
Hg 0.250 0.506 0.256
Hg 0.250 0.994 0.744
Hg 0.352 0.891 0.243
Hg 0.648 0.109 0.757
Hg 0.750 0.006 0.256
Hg 0.750 0.494 0.744
Hg 0.750 0.750 0.000
Hg 0.852 0.609 0.460
Au 0.146 0.870 0.016
Au 0.250 0.750 0.500
Au 0.354 0.370 0.723
Au 0.646 0.630 0.277
Au 0.750 0.250 0.500
Au 0.854 0.130 0.984

Properties
Density of states at the Fermi level: 9.33 states/eV per cell
Symmetry: Ibam
M_tot: 0.000 μB per cell
V: 26.17 Å³/atom

---

2.
Compound: Sr2Hg5Au3
Source: Alexandria
Functional: PBE
Structure: relaxed

Unit cell a=13.924 b=13.924 c=7.871 alpha=90.00 beta=90.00 gamma=160.19
Fractional coordinates of all 20 atoms:
Sr 0.023 0.977 0.500
Sr 0.321 0.679 0.429
Sr 0.679 0.321 0.929
Sr 0.977 0.023 0.000
Hg 0.101 0.899 0.139
Hg 0.205 0.795 0.222
Hg 0.206 0.794 0.623
Hg 0.379 0.621 0.985
Hg 0.447 0.553 0.330
Hg 0.553 0.447 0.830
Hg 0.621 0.379 0.485
Hg 0.794 0.206 0.123
Hg 0.795 0.205 0.722
Hg 0.899 0.101 0.639
Au 0.111 0.889 0.762
Au 0.271 0.729 0.921
Au 0.454 0.546 0.716
Au 0.546 0.454 0.216
Au 0.729 0.271 0.421
Au 0.889 0.111 0.262

Properties
Density of states at the Fermi level: 8.39 states/eV per cell
Symmetry: Cmc2_1
M_tot: 0.000 μB per cell
V: 25.86 Å³/atom

---

If we sort the structures by their calculated energies, the order from most to least stable is 2, 1.